Entry 1:
A plane-wave DFT calculation with GGA-PBE was carried out for a relaxed Tb6As2AuSe3 crystal.

Results
- E_form (uncorrected) (meV/atom) = -1563
- crystal system = monoclinic
- space group = C2/m
- DOS(E_F) (states/eV/atom) = 0.350

POSCAR file:
```
Tb6As2AuSe3
1.0
-1.793 2.503 2.706
3.294 -4.404 6.257
7.165 5.039 -3.019
As Tb Se Au
2 6 3 1
Cartesian
3.189 0.621 1.538
5.478 2.516 4.406
3.137 0.846 4.401
0.848 -1.083 1.563
7.819 4.220 4.381
1.503 2.958 1.364
5.529 2.292 1.543
7.164 0.179 4.580
3.815 4.691 1.293
0.751 -0.950 4.482
4.851 -1.554 4.651
-0.896 1.252 1.353
```


Entry 2:
A plane-wave DFT calculation with GGA-PBE was carried out for a relaxed Ce2Ni3Ir crystal.

Results
- crystal system = trigonal
- energy of formation (eV per atom) = -0.521
- space group = R-3m
- DOS(E_F) (states/eV/atom) = 1.501

POSCAR file:
```
Ce2Ni3Ir
1.0
4.515 -0.134 -2.364
-2.873 4.206 -0.222
-0.134 0.188 5.232
Ir Ce Ni
1 2 3
Cartesian
0.000 0.000 0.000
2.289 1.497 -1.208
-0.781 2.763 3.854
-0.067 0.094 2.616
0.754 2.130 1.323
2.191 0.027 1.434
```


Entry 3:
A plane-wave DFT calculation with GGA-PBE was carried out for a relaxed TiNb2Ga2Ru5 crystal.

Results
- crystal system = tetragonal
- energy of formation (eV per atom) = -0.207
- space group = P4/mbm
- DOS(E_F) (states/eV/atom) = 0.501

POSCAR file:
```
TiNb2Ga2Ru5
1.0
-1.399 -2.904 0.018
7.058 -3.436 -5.847
5.287 -2.498 7.850
Ru Nb Ga Ti
10 4 4 2
Cartesian
6.674 -5.007 -0.514
4.097 -3.765 -0.327
4.272 -3.831 2.534
1.944 -2.701 3.934
0.959 -2.256 -0.836
7.124 -5.245 -3.995
6.849 -5.074 2.348
2.829 -3.170 -2.915
3.821 -3.593 6.016
9.987 -6.582 2.857
5.642 -2.734 -2.581
6.703 -3.201 4.583
9.398 -4.524 0.422
2.946 -1.410 1.581
9.052 -4.341 3.099
4.290 -2.041 4.192
8.054 -3.893 -2.189
3.293 -1.593 -1.096
6.172 -2.967 1.001
0.000 0.000 0.000
```